(1)
The following is a PBE-GGA calculation of a relaxed structure of HoZnInSe3, from OQMD.

a b c (Å): 10.8890 4.0857 14.6201
angles (deg): 90.00 90.00 90.00
With the nearest neighbours (Å) after each atom.
Atoms (fractional coordinates):
Ho (0.4870, 0.2500, 0.2448)  6 Se 2.85-2.90
Ho (0.9870, 0.2500, 0.2552)  6 Se 2.85-2.90
Ho (0.0130, 0.7500, 0.7448)  6 Se 2.85-2.90
Ho (0.5130, 0.7500, 0.7552)  6 Se 2.85-2.90
In (0.2255, 0.2500, 0.0012)  7 Se 3.34-3.48, 2 Zn 3.72
In (0.7255, 0.2500, 0.4988)  7 Se 3.34-3.48, 2 Zn 3.72
In (0.2745, 0.7500, 0.5012)  7 Se 3.34-3.48, 2 Zn 3.72
In (0.7745, 0.7500, 0.9988)  7 Se 3.34-3.48, 2 Zn 3.72
Se (0.4229, 0.7500, 0.1170)  1 Zn 2.45
Se (0.0467, 0.7500, 0.1239)  1 Zn 2.47
Se (0.7391, 0.2500, 0.1820)  2 Zn 2.55
Se (0.2391, 0.2500, 0.3180)  2 Zn 2.55
Se (0.5467, 0.7500, 0.3761)  1 Zn 2.47
Se (0.9229, 0.7500, 0.3830)  1 Zn 2.45
Se (0.0771, 0.2500, 0.6170)  1 Zn 2.45
Se (0.4533, 0.2500, 0.6239)  1 Zn 2.47
Se (0.7609, 0.7500, 0.6820)  2 Zn 2.55
Se (0.2609, 0.7500, 0.8180)  2 Zn 2.55
Se (0.9533, 0.2500, 0.8761)  1 Zn 2.47
Se (0.5771, 0.2500, 0.8830)  1 Zn 2.45
Zn (0.2387, 0.7500, 0.2134)  4 Se 2.45-2.55
Zn (0.7387, 0.7500, 0.2866)  4 Se 2.45-2.55
Zn (0.2613, 0.2500, 0.7134)  4 Se 2.45-2.55
Zn (0.7613, 0.2500, 0.7866)  4 Se 2.45-2.55

Results
Energy above the most stable polymorph in this dataset: 0.0000 eV per atom
E_tot: -4.246 eV per atom
Magnetic moment: 0.00 μB/f.u.



(2)
The following is a PBE-GGA calculation of a relaxed structure of HoZnInSe3, from OQMD.

a b c (Å): 8.2461 4.0921 10.5738
angles (deg): 90.00 108.94 90.00
With the nearest neighbours (Å) after each atom.
Atoms (fractional coordinates):
Ho (0.8088, 0.7500, 0.3603)  6 Se 2.81-3.00
Ho (0.1912, 0.2500, 0.6397)  6 Se 2.81-3.00
In (0.2285, 0.7500, 0.2129)  4 Se 3.18-3.32
In (0.7715, 0.2500, 0.7871)  4 Se 3.18-3.32
Se (0.7272, 0.7500, 0.0621)  3 Zn 2.53-2.56
Se (0.5598, 0.2500, 0.3379)  1 Zn 2.46
Se (0.0528, 0.2500, 0.3589)  3 Ho 2.81-2.87
Se (0.9472, 0.7500, 0.6411)  3 Ho 2.81-2.87
Se (0.4402, 0.7500, 0.6621)  1 Zn 2.46
Se (0.2728, 0.2500, 0.9379)  3 Zn 2.53-2.56
Zn (0.5754, 0.2500, 0.1092)  4 Se 2.46-2.56
Zn (0.4246, 0.7500, 0.8908)  4 Se 2.46-2.56

Results
Energy above the most stable polymorph in this dataset: 0.0192 eV per atom
E_tot: -4.227 eV per atom
Magnetic moment: 0.00 μB/f.u.



(3)
The following is a PBE-GGA calculation of a relaxed structure of HoInSi, from OQMD.

a b c (Å): 4.6902 4.6902 4.6902
angles (deg): 60.00 60.00 60.00
With the nearest neighbours (Å) after each atom.
Atoms (fractional coordinates):
Ho (0.2500, 0.2500, 0.2500)  4 Si 2.87
In (0.7500, 0.7500, 0.7500)  4 Si 2.87
Si (0.0000, 0.0000, 0.0000)  4 In 2.87, 4 Ho 2.87

Results
E_tot: -4.392 eV per atom
Magnetic moment: 0.00 μB/f.u.



(4)
The following is a PBE-GGA calculation of a relaxed structure of Ho2InSi, from OQMD.

a b c (Å): 4.0785 5.9268 5.9268
angles (deg): 43.52 90.00 90.00
With the nearest neighbours (Å) after each atom.
Atoms (fractional coordinates):
Ho (0.5000, 0.3551, 0.3551)  1 Si 2.96, 4 In 3.08
Ho (0.0000, 0.6376, 0.6376)  4 Si 3.05, 3 In 3.12-3.24
In (0.0000, 0.9212, 0.9212)  2 Si 2.73
Si (0.5000, 0.0862, 0.0862)  2 In 2.73, 5 Ho 2.96-3.05

Results
E_tot: -4.901 eV per atom
Magnetic moment: 0.01 μB/f.u.



Repeat the fourth record exactly.
The following is a PBE-GGA calculation of a relaxed structure of Ho2InSi, from OQMD.

a b c (Å): 4.0785 5.9268 5.9268
angles (deg): 43.52 90.00 90.00
With the nearest neighbours (Å) after each atom.
Atoms (fractional coordinates):
Ho (0.5000, 0.3551, 0.3551)  1 Si 2.96, 4 In 3.08
Ho (0.0000, 0.6376, 0.6376)  4 Si 3.05, 3 In 3.12-3.24
In (0.0000, 0.9212, 0.9212)  2 Si 2.73
Si (0.5000, 0.0862, 0.0862)  2 In 2.73, 5 Ho 2.96-3.05

Results
E_tot: -4.901 eV per atom
Magnetic moment: 0.01 μB/f.u.



- Number 3 is which compound?
  HoInSi



- What is the formula in the first record?
  HoZnInSe3